# 1
Compound: AlFe2Si
Source: the Alexandria database
Functional: GGA-PBE
Structure: optimized geometry

Computed properties:
Raw formation energy in meV/atom: -278
Crystal system: tetragonal
SG: I-4m2 (119)
M_tot in μB per formula unit: 3.3

Lattice parameters (Å, degrees): 4.5766 4.5766 4.5766 134.84 134.84 65.78
Closest atoms and distances in Å follow each position.
Element x y z (fractional)
Si  0.5000  0.5000  0.0000  8 Fe 2.49-2.60, 4 Al 2.60
Fe  0.0000  0.0000  0.0000  4 Si 2.49, 4 Fe 2.60, 4 Al 2.60
Fe  0.2500  0.7500  0.5000  4 Al 2.49, 4 Si 2.60, 4 Fe 2.60
Al  0.7500  0.2500  0.5000  8 Fe 2.49-2.60, 4 Si 2.60



# 2
Compound: KPa2MnS8
Source: the Alexandria database
Functional: GGA-PBE
Structure: optimized geometry

Computed properties:
Raw formation energy in meV/atom: -1053
Crystal system: trigonal
SG: P-3m1 (164)
M_tot in μB per formula unit: 2.9

Lattice parameters (Å, degrees): 5.9742 5.9742 9.0125 90.00 90.00 120.00
Closest atoms and distances in Å follow each position.
Element x y z (fractional)
Pa  0.3333  0.6667  0.8809  1 S 2.41
Pa  0.6667  0.3333  0.1191  1 S 2.41
S  0.3484  0.1742  0.8471  1 Mn 2.27
S  0.6516  0.8258  0.1529  1 Mn 2.27
S  0.8258  0.1742  0.8471  1 Mn 2.27
S  0.8258  0.6516  0.8471  1 Mn 2.27
S  0.6667  0.3333  0.3868  1 Pa 2.41
S  0.1742  0.3484  0.1529  1 Mn 2.27
S  0.1742  0.8258  0.1529  1 Mn 2.27
S  0.3333  0.6667  0.6132  1 Pa 2.41
Mn  0.0000  0.0000  0.0000  6 S 2.27
K  0.0000  0.0000  0.5000  12 S 3.60-3.61



# 3
Compound: DyFe4P2
Source: the Alexandria database
Functional: GGA-PBE
Structure: optimized geometry

Computed properties:
E_form in meV/atom: -688
Crystal system: tetragonal
SG: P4_2/mnm (136)
M_tot in μB per formula unit: 4.3

Lattice parameters (Å, degrees): 3.6259 7.0207 7.0207 90.00 90.00 90.00
Closest atoms and distances in Å follow each position.
Element x y z (fractional)
Fe  0.0000  0.9174  0.6574  3 P 2.29-2.32, 5 Fe 2.50-2.53
Fe  0.0000  0.6574  0.9174  3 P 2.29-2.32, 5 Fe 2.50-2.53
Fe  0.5000  0.4174  0.8426  3 P 2.29-2.32, 5 Fe 2.50-2.53
Fe  0.5000  0.1574  0.5826  3 P 2.29-2.32, 5 Fe 2.50-2.53
Fe  0.0000  0.3426  0.0826  3 P 2.29-2.32, 5 Fe 2.50-2.53
Fe  0.5000  0.8426  0.4174  3 P 2.29-2.32, 5 Fe 2.50-2.53
Fe  0.5000  0.5826  0.1574  3 P 2.29-2.32, 5 Fe 2.50-2.53
Fe  0.0000  0.0826  0.3426  3 P 2.29-2.32, 5 Fe 2.50-2.53
P  0.5000  0.7198  0.7198  6 Fe 2.29-2.32
P  0.0000  0.7802  0.2198  6 Fe 2.29-2.32
P  0.5000  0.2802  0.2802  6 Fe 2.29-2.32
P  0.0000  0.2198  0.7802  6 Fe 2.29-2.32
Dy  0.5000  0.0000  0.0000  6 P 2.78-2.84, 8 Fe 3.07
Dy  0.0000  0.5000  0.5000  6 P 2.78-2.84, 8 Fe 3.07



# 4
Compound: Ho2ScCu2
Source: the Alexandria database
Functional: GGA-PBE
Structure: optimized geometry

Computed properties:
E_form in meV/atom: -172
Crystal system: tetragonal
SG: P4/mbm (127)
Energy relative to the lowest polymorph listed for this composition in eV/atom: 0.0000
M_tot in μB per formula unit: 0.0

Lattice parameters (Å, degrees): 3.5764 7.7908 7.7908 90.00 90.00 90.00
Closest atoms and distances in Å follow each position.
Element x y z (fractional)
Ho  0.5000  0.6692  0.8308  6 Cu 2.90-2.92
Ho  0.5000  0.3308  0.1692  6 Cu 2.90-2.92
Ho  0.5000  0.1692  0.6692  6 Cu 2.90-2.92
Ho  0.5000  0.8308  0.3308  6 Cu 2.90-2.92
Cu  0.0000  0.3762  0.8762  1 Cu 2.73, 6 Ho 2.90-2.92
Cu  0.0000  0.1238  0.3762  1 Cu 2.73, 6 Ho 2.90-2.92
Cu  0.0000  0.8762  0.6238  1 Cu 2.73, 6 Ho 2.90-2.92
Cu  0.0000  0.6238  0.1238  1 Cu 2.73, 6 Ho 2.90-2.92
Sc  0.0000  0.5000  0.5000  4 Cu 3.09, 8 Ho 3.40
Sc  0.0000  0.0000  0.0000  4 Cu 3.09, 8 Ho 3.40



# 5
Compound: CaMg2Zn3
Source: the Alexandria database
Functional: GGA-PBE
Structure: optimized geometry

Computed properties:
E_form in meV/atom: -145
Crystal system: hexagonal
SG: P6_3/mmc (194)
Energy relative to the lowest polymorph listed for this composition in eV/atom: 0.0000
M_tot in μB per formula unit: 0.0

Lattice parameters (Å, degrees): 4.7176 4.7175 12.7542 90.00 90.00 120.00
Closest atoms and distances in Å follow each position.
Element x y z (fractional)
Zn  0.3333  0.6667  0.8560  1 Zn 2.70, 4 Mg 2.82-2.85
Zn  0.0000  0.0000  0.5000  6 Mg 2.90, 2 Ca 3.19
Zn  0.0000  0.0000  0.0000  6 Mg 2.90, 2 Ca 3.19
Zn  0.6667  0.3333  0.3560  1 Zn 2.70, 4 Mg 2.82-2.85
Zn  0.3333  0.6667  0.6440  1 Zn 2.70, 4 Mg 2.82-2.85
Zn  0.6667  0.3333  0.1440  1 Zn 2.70, 4 Mg 2.82-2.85
Ca  0.0000  0.0000  0.2500  8 Zn 3.04-3.19
Ca  0.0000  0.0000  0.7500  8 Zn 3.04-3.19
Mg  0.3333  0.6667  0.0772  7 Zn 2.82-2.90
Mg  0.3333  0.6667  0.4228  7 Zn 2.82-2.90
Mg  0.6667  0.3333  0.9228  7 Zn 2.82-2.90
Mg  0.6667  0.3333  0.5772  7 Zn 2.82-2.90



# 6
Compound: LiTm2BPt6
Source: the Alexandria database
Functional: GGA-PBE
Structure: optimized geometry

Computed properties:
E_form in meV/atom: -869
Crystal system: trigonal
SG: R-3m (166)
M_tot in μB per formula unit: 0.0

Lattice parameters (Å, degrees): 7.1935 5.5593 7.1937 67.27 45.46 90.00
Closest atoms and distances in Å follow each position.
Element x y z (fractional)
Li  0.0000  0.0000  0.0000  6 Pt 2.45
Pt  0.2605  0.7397  0.0325  1 B 2.12
Pt  0.7724  0.7397  0.5207  1 B 2.12
Pt  0.7395  0.7721  0.9676  1 B 2.12
Pt  0.2276  0.2603  0.4793  1 B 2.12
Pt  0.2605  0.2279  0.0324  1 B 2.12
Pt  0.7395  0.2603  0.9675  1 B 2.12
Tm  0.7073  0.2929  0.4143  9 Pt 2.99-3.14, 3 Li 3.30
Tm  0.2927  0.7071  0.5857  9 Pt 2.99-3.14, 3 Li 3.30
B  0.5000  0.5000  0.0000  6 Pt 2.12



# 7
Compound: TbMg16Al12
Source: the Alexandria database
Functional: GGA-PBE
Structure: optimized geometry

Computed properties:
E_form in meV/atom: -75
Crystal system: cubic
SG: I-43m (217)
Energy relative to the lowest polymorph listed for this composition in eV/atom: 0.0000
M_tot in μB per formula unit: 0.0

Lattice parameters (Å, degrees): 9.1396 9.1396 9.1396 109.47 109.47 109.47
Closest atoms and distances in Å follow each position.
Element x y z (fractional)
Mg  0.6036  0.2843  0.6036  5 Al 2.86-3.18, 7 Mg 3.03-3.16
Mg  0.6036  0.6036  0.2843  5 Al 2.86-3.18, 7 Mg 3.03-3.16
Mg  0.6808  0.0000  0.3964  5 Al 2.86-3.18, 7 Mg 3.03-3.16
Mg  0.0000  0.3964  0.6808  5 Al 2.86-3.18, 7 Mg 3.03-3.16
Mg  0.6808  0.3964  0.0000  5 Al 2.86-3.18, 7 Mg 3.03-3.16
Mg  0.0000  0.6808  0.3964  5 Al 2.86-3.18, 7 Mg 3.03-3.16
Mg  0.3192  0.3192  0.7157  5 Al 2.86-3.18, 7 Mg 3.03-3.16
Mg  0.2843  0.6036  0.6036  5 Al 2.86-3.18, 7 Mg 3.03-3.16
Mg  0.0000  0.0000  0.6418  3 Mg 3.03, 6 Al 3.17, 1 Tb 3.27
Mg  0.7157  0.3192  0.3192  5 Al 2.86-3.18, 7 Mg 3.03-3.16
Mg  0.3964  0.6808  0.0000  5 Al 2.86-3.18, 7 Mg 3.03-3.16
Mg  0.3582  0.3582  0.3582  3 Mg 3.03, 6 Al 3.17, 1 Tb 3.27
Mg  0.0000  0.6418  0.0000  3 Mg 3.03, 6 Al 3.17, 1 Tb 3.27
Mg  0.3964  0.0000  0.6808  5 Al 2.86-3.18, 7 Mg 3.03-3.16
Mg  0.6418  0.0000  0.0000  3 Mg 3.03, 6 Al 3.17, 1 Tb 3.27
Mg  0.3192  0.7157  0.3192  5 Al 2.86-3.18, 7 Mg 3.03-3.16
Al  0.1821  0.8138  0.8138  3 Al 2.72-2.78, 3 Mg 2.86-2.99
Al  0.8138  0.8138  0.1821  3 Al 2.72-2.78, 3 Mg 2.86-2.99
Al  0.0000  0.1862  0.3683  3 Al 2.72-2.78, 3 Mg 2.86-2.99
Al  0.1862  0.0000  0.3683  3 Al 2.72-2.78, 3 Mg 2.86-2.99
Al  0.3683  0.0000  0.1862  3 Al 2.72-2.78, 3 Mg 2.86-2.99
Al  0.6317  0.8179  0.6317  3 Al 2.72-2.78, 3 Mg 2.86-2.99
Al  0.6317  0.6317  0.8179  3 Al 2.72-2.78, 3 Mg 2.86-2.99
Al  0.8138  0.1821  0.8138  3 Al 2.72-2.78, 3 Mg 2.86-2.99
Al  0.8179  0.6317  0.6317  3 Al 2.72-2.78, 3 Mg 2.86-2.99
Al  0.1862  0.3683  0.0000  3 Al 2.72-2.78, 3 Mg 2.86-2.99
Al  0.0000  0.3683  0.1862  3 Al 2.72-2.78, 3 Mg 2.86-2.99
Al  0.3683  0.1862  0.0000  3 Al 2.72-2.78, 3 Mg 2.86-2.99
Tb  0.0000  0.0000  0.0000  12 Al 3.23, 4 Mg 3.27



# 8
Compound: Nb2TlTeO
Source: the Alexandria database
Functional: GGA-PBE
Structure: optimized geometry

Computed properties:
Raw formation energy in meV/atom: 2173
Crystal system: tetragonal
SG: P4/mmm (123)
Energy relative to the lowest polymorph listed for this composition in eV/atom: 1.4109
M_tot in μB per formula unit: 4.0

Lattice parameters (Å, degrees): 5.4390 5.5115 5.4390 90.00 90.00 90.00
Closest atoms and distances in Å follow each position.
Element x y z (fractional)
Nb  0.5000  0.0000  0.0000  2 Tl 2.72
Nb  0.0000  0.0000  0.5000  2 Tl 2.72
Tl  0.0000  0.0000  0.0000  4 Nb 2.72, 2 Te 2.76
Te  0.0000  0.5000  0.0000  2 Tl 2.76
O  0.5000  0.5000  0.5000  4 Te 3.85, 8 Nb 3.87



# 9
Compound: LiTlSnO3
Source: the Alexandria database
Functional: GGA-PBE
Structure: optimized geometry

Computed properties:
Raw formation energy in meV/atom: -1407
Crystal system: orthorhombic
SG: Cmcm (63)
M_tot in μB per formula unit: 0.0

Lattice parameters (Å, degrees): 5.7146 5.7488 6.1970 117.64 90.00 90.00
Closest atoms and distances in Å follow each position.
Element x y z (fractional)
O  0.0000  0.7621  0.0000  2 Sn 2.09, 2 Li 2.24
O  0.5000  0.2379  0.0000  2 Sn 2.09, 2 Li 2.24
O  0.2500  0.2405  0.4810  1 Sn 1.97, 1 Li 2.02
O  0.0000  0.2379  0.0000  2 Sn 2.09, 2 Li 2.24
O  0.7500  0.7595  0.5190  1 Sn 1.97, 1 Li 2.02
O  0.5000  0.7621  0.0000  2 Sn 2.09, 2 Li 2.24
Li  0.7500  0.5756  0.1512  5 O 2.02-2.24
Li  0.2500  0.4244  0.8488  5 O 2.02-2.24
Sn  0.2500  0.0608  0.1216  5 O 1.97-2.09
Sn  0.7500  0.9392  0.8784  5 O 1.97-2.09
Tl  0.7500  0.2646  0.5292  4 O 2.87
Tl  0.2500  0.7354  0.4708  4 O 2.87



# 10
Compound: BeAl2Ni3
Source: the Alexandria database
Functional: GGA-PBE
Structure: optimized geometry

Computed properties:
E_form in meV/atom: -560
Crystal system: tetragonal
SG: P4/mmm (123)
M_tot in μB per formula unit: 0.0

Lattice parameters (Å, degrees): 2.7732 2.7732 8.6429 90.00 90.00 90.00
Closest atoms and distances in Å follow each position.
Element x y z (fractional)
Ni  0.0000  0.0000  0.0000  8 Al 2.49, 4 Ni 2.77
Ni  0.0000  0.0000  0.3544  4 Be 2.33, 4 Al 2.48, 1 Ni 2.52
Ni  0.0000  0.0000  0.6456  4 Be 2.33, 4 Al 2.48, 1 Ni 2.52
Al  0.5000  0.5000  0.8218  8 Ni 2.48-2.49, 4 Al 2.77
Al  0.5000  0.5000  0.1782  8 Ni 2.48-2.49, 4 Al 2.77
Be  0.5000  0.5000  0.5000  8 Ni 2.33



# 11
Compound: Ca3Sb
Source: the Alexandria database
Functional: GGA-PBE
Structure: optimized geometry

Computed properties:
Raw formation energy in meV/atom: -366
Crystal system: hexagonal
SG: P-6m2 (187)
Energy relative to the lowest polymorph listed for this composition in eV/atom: 0.1690
M_tot in μB per formula unit: 0.0

Lattice parameters (Å, degrees): 4.4716 4.4716 9.7264 90.00 90.00 120.00
Closest atoms and distances in Å follow each position.
Element x y z (fractional)
Ca  0.0000  0.0000  0.5719  3 Sb 3.11, 1 Ca 3.47
Ca  0.0000  0.0000  0.9281  3 Sb 3.11, 1 Ca 3.47
Ca  0.6667  0.3333  0.2500  12 Ca 4.06-4.47
Sb  0.6667  0.3333  0.7500  6 Ca 3.11



# 12
Compound: Sc2NiHBr
Source: the Alexandria database
Functional: GGA-PBE
Structure: optimized geometry

Computed properties:
Energy in eV/atom: -4.6964
Crystal system: tetragonal
SG: P4/mmm (123)
M_tot in μB per formula unit: 1.0

Lattice parameters (Å, degrees): 4.1706 4.6605 4.1706 90.00 90.00 90.00
Closest atoms and distances in Å follow each position.
Element x y z (fractional)
Sc  0.5000  0.0000  0.0000  2 H 2.09
Sc  0.0000  0.0000  0.5000  2 H 2.09
H  0.0000  0.0000  0.0000  4 Sc 2.09, 2 Br 2.33
Ni  0.5000  0.5000  0.5000  4 Br 2.95, 8 Sc 3.13
Br  0.0000  0.5000  0.0000  2 H 2.33